Here is CuNiF2 after structural relaxation from Alexandria via LeMat-Bulk. Energies are from GGA+U.

Cell: 8.378 8.378 8.378 Å, 20.00 20.00 20.00°
Positions (direct):
Cu (0.000, 0.000, 0.000)
Ni (0.500, 0.500, 0.500)
F (0.123, 0.123, 0.123)
F (0.877, 0.877, 0.877)

ΔE to the lowest computed polymorph (meV/atom): 0
Total DFT energy (no corrections) (eV per cell): -15.136